Compound: Rb3Pu3FeSe8
Source: Alexandria via LeMat-Bulk
Functional: PBE
Structure: optimized geometry

abc: 8.3081 8.3081 24.3013
angles: 90.00 90.00 120.00
Space group R-3m (No. 166, hexagonal axes)
Asymmetric unit:
1 Rb 0.0000 0.5000 0.0000
2 Pu 0.0000 0.5000 0.5000
3 Fe 0.0000 0.0000 0.5000
4 Se 0.0000 0.0000 0.2320
5 Se 0.0202 0.5101 0.2265

Calculated values
formation energy (no corrections)	-1660	kJ/mol of formula units
crystal system	trigonal

---

Compound: HgBi3Pb
Source: Alexandria via LeMat-Bulk
Functional: PBE
Structure: optimized geometry

abc: 5.7289 5.7289 5.7289
angles: 90.00 90.00 90.00
Space group Pm-3m (No. 221)
Asymmetric unit:
1 Hg 0.0000 0.0000 0.0000
2 Bi 0.0000 0.0000 0.5000
3 Pb 0.5000 0.5000 0.5000

Calculated values
relative energy among the computed polymorphs	245	kJ/mol of formula units
energy of formation	273.3	kJ/mol of formula units
crystal system	cubic

---

Compound: PrPaGe2
Source: Alexandria via LeMat-Bulk
Functional: PBE
Structure: optimized geometry

abc: 4.1700 4.1700 21.1441
angles: 90.00 90.00 120.00
Space group R-3m (No. 166, hexagonal axes)
Asymmetric unit:
1 Pr 0.0000 0.0000 0.0000
2 Pa 0.0000 0.0000 0.5000
3 Ge 0.0000 0.0000 0.2434

Calculated values
relative energy among the computed polymorphs	0	kJ/mol of formula units
energy of formation	-231.6	kJ/mol of formula units
crystal system	trigonal

---

Compound: Rb4Na2Se
Source: Alexandria via LeMat-Bulk
Functional: PBE
Structure: optimized geometry

abc: 6.6740 6.6740 21.1018
angles: 90.00 90.00 90.00
Space group I4/mmm (No. 139)
Asymmetric unit:
1 Rb 0.0000 0.0000 0.1575
2 Rb 0.0000 0.5000 0.0000
3 Na 0.0000 0.0000 0.3531
4 Se 0.0000 0.0000 0.0000

Calculated values
formation energy (no corrections)	-237	kJ/mol of formula units
crystal system	tetragonal

---

The density results, record by record, are as follows: 5.747, 9.138, 8.092, 1.649 g/cm3.